Material: Ca2Al2FeSi3HO13
Method: DFT, meta-GGA SCAN
State: PBEsol geometry

Cell: 5.669 8.925 10.123 Å, 115.51 90.00 90.00°
Each line ends with the local moment (μB).
Positions (direct):
O 0.488 0.796 0.336  0.01
O 0.988 0.204 0.664  0.01
O 0.750 0.916 0.572  0.00
O 0.250 0.958 0.855  0.00
O 0.519 0.306 0.360  0.12
O 0.250 0.486 0.814  0.00
O 0.250 0.527 0.312  0.14
O 0.750 0.068 0.410  0.01
O 0.506 0.231 0.037  0.05
O 0.750 0.383 0.905  0.00
O 0.994 0.231 0.037  0.05
O 0.750 0.947 0.869  0.13
O 0.250 0.084 0.428  0.00
O 0.019 0.694 0.640  0.12
O 0.250 0.053 0.131  0.13
O 0.250 0.932 0.590  0.01
O 0.481 0.694 0.640  0.12
O 0.250 0.617 0.095  0.00
O 0.750 0.514 0.186  0.00
O 0.750 0.473 0.688  0.14
O 0.012 0.796 0.336  0.01
O 0.494 0.769 0.963  0.05
O 0.006 0.769 0.963  0.05
O 0.750 0.042 0.145  0.00
O 0.512 0.204 0.664  0.01
O 0.981 0.306 0.360  0.12
Ca 0.250 0.390 0.573  0.00
Ca 0.750 0.749 0.146  0.00
Ca 0.750 0.610 0.427  0.00
Ca 0.250 0.251 0.854  0.00
H 0.750 0.944 0.678  0.00
H 0.250 0.056 0.322  0.00
Al 0.000 0.000 0.000  0.00
Al 0.500 0.000 0.000  0.00
Al 0.000 0.000 0.500  0.00
Al 0.500 0.000 0.500  0.00
Si 0.750 0.184 0.320  0.01
Si 0.750 0.315 0.726  0.01
Si 0.250 0.816 0.680  0.01
Si 0.250 0.685 0.274  0.01
Si 0.750 0.338 0.048  0.00
Si 0.250 0.662 0.952  0.00
Fe 0.250 0.295 0.229  4.17
Fe 0.750 0.705 0.771  4.17

- space-group type = P2_1/m
- raw total energy (eV/atom) = -10.578
- ρ (Mg/m³) = 3.47